Record 1
PBE CsCdBi3, relaxed; SG = Pm-3m, No. 221; DFT total energy = -12.52 eV per cell; magnetization = 0.0000 μB/atom; E_form = 179.3 meV/atom
1.0
5.883 0.000 0.000
0.000 5.883 0.000
0.000 0.000 5.883
Cs Cd Bi
1 1 3
Direct
0.000 0.000 0.000 Cs
0.500 0.500 0.500 Cd
0.000 0.500 0.500 Bi
0.500 0.000 0.500 Bi
0.500 0.500 0.000 Bi



Record 2
PBE Na2CaAu2, relaxed; SG = P4/mbm, No. 127; DFT total energy = -26.13 eV per cell; magnetization = 0.0000 μB/atom; E_form = -374.0 meV/atom
1.0
7.729 0.000 0.000
0.000 7.729 0.000
0.000 0.000 4.347
Na Ca Au
4 2 4
Direct
0.159 0.341 0.000 Na
0.341 0.841 0.000 Na
0.659 0.159 0.000 Na
0.841 0.659 0.000 Na
0.000 0.000 0.500 Ca
0.500 0.500 0.500 Ca
0.131 0.631 0.500 Au
0.369 0.131 0.500 Au
0.631 0.869 0.500 Au
0.869 0.369 0.500 Au



Record 3
PBE Co5PdPt2, relaxed; SG = I4/mmm, No. 139; DFT total energy = -105.92 eV per cell; magnetization = 1.3386 μB/atom; E_form = -19.3 meV/atom
1.0
5.309 0.000 0.000
0.000 5.309 0.000
0.000 0.000 7.349
Co Pd Pt
10 2 4
Direct
0.000 0.000 0.000 Co
0.250 0.250 0.250 Co
0.250 0.250 0.750 Co
0.250 0.750 0.250 Co
0.250 0.750 0.750 Co
0.500 0.500 0.500 Co
0.750 0.250 0.250 Co
0.750 0.250 0.750 Co
0.750 0.750 0.250 Co
0.750 0.750 0.750 Co
0.000 0.000 0.500 Pd
0.500 0.500 0.000 Pd
0.000 0.500 0.000 Pt
0.000 0.500 0.500 Pt
0.500 0.000 0.000 Pt
0.500 0.000 0.500 Pt



Record 4
PBE LiBe3V, relaxed; SG = Pm-3m, No. 221; DFT total energy = -18.94 eV per cell; magnetization = 0.0003 μB/atom; E_form = 655.1 meV/atom
1.0
3.671 0.000 0.000
0.000 3.671 0.000
0.000 0.000 3.671
Li Be V
1 3 1
Direct
0.000 0.000 0.000 Li
0.000 0.000 0.500 Be
0.000 0.500 0.000 Be
0.500 0.000 0.000 Be
0.500 0.500 0.500 V



Record 5
PBE LiSi6Pt3, relaxed; uncorrected formation energy = -0.41 eV per atom; SG = P2_1/m, No. 11; DFT total energy = -113.37 eV per cell; magnetization = 0.0000 μB/atom
1.0
8.686 0.000 0.000
0.000 4.046 0.000
-3.761 0.000 9.032
Li Si Pt
2 12 6
Direct
0.059 0.250 0.237 Li
0.941 0.750 0.763 Li
0.039 0.750 0.409 Si
0.092 0.250 0.855 Si
0.202 0.750 0.149 Si
0.316 0.750 0.683 Si
0.427 0.250 0.062 Si
0.487 0.250 0.587 Si
0.513 0.750 0.413 Si
0.573 0.750 0.938 Si
0.684 0.250 0.317 Si
0.798 0.250 0.851 Si
0.908 0.750 0.145 Si
0.961 0.250 0.591 Si
0.198 0.250 0.521 Pt
0.273 0.750 0.928 Pt
0.369 0.250 0.296 Pt
0.631 0.750 0.704 Pt
0.727 0.250 0.072 Pt
0.802 0.750 0.479 Pt



Record 6
PBE NdSmOs, relaxed; SG = I4mm, No. 107; DFT total energy = -41.79 eV per cell; magnetization = 0.0000 μB/atom; E_form = -59.9 meV/atom
1.0
3.473 0.000 0.000
0.000 3.473 0.000
0.000 0.000 13.828
Nd Sm Os
2 2 2
Direct
0.000 0.000 0.000 Nd
0.500 0.500 0.500 Nd
0.000 0.000 0.247 Sm
0.500 0.500 0.747 Sm
0.000 0.000 0.625 Os
0.500 0.500 0.125 Os